Record 1
This record from Alexandria via LeMat-Bulk describes a geometry-optimized AcDyAu structure. The functional is GGA-PBE.

Computed properties:
E: -4.343 eV/atom
V: 101.1 Å³/f.u.

a b c (Å): 5.2293 5.2293 5.2293
angles (deg): 60.00 60.00 60.00
Fractional coordinates of all 3 atoms:
Ac 0.0000 0.0000 0.0000
Au 0.2500 0.2500 0.2500
Dy 0.5000 0.5000 0.5000

Record 2
This record from Alexandria via LeMat-Bulk describes a geometry-optimized AcDy2Au6 structure. The functional is GGA-PBE.

Computed properties:
E: -4.421 eV/atom
V: 216.8 Å³/f.u.

a b c (Å): 3.8344 7.7311 8.4890
angles (deg): 117.09 102.96 90.00
Fractional coordinates of all 9 atoms:
Ac 0.0000 0.0000 0.0000
Dy 0.8605 0.3584 0.7167
Dy 0.1395 0.6416 0.2833
Au 0.6786 0.3726 0.3584
Au 0.3214 0.6274 0.6416
Au 0.3214 0.0142 0.6416
Au 0.5000 0.6775 0.0000
Au 0.5000 0.3225 0.0000
Au 0.6786 0.9858 0.3584

Record 3
This record from Alexandria via LeMat-Bulk describes a geometry-optimized AcDy2Au structure. The functional is GGA-PBE.

Computed properties:
E: -4.434 eV/atom
V: 132.1 Å³/f.u.

a b c (Å): 3.9021 3.9021 10.2710
angles (deg): 79.05 79.05 60.00
Fractional coordinates of all 4 atoms:
Ac 0.5000 0.5000 0.5000
Au 0.0000 0.0000 0.0000
Dy 0.2707 0.2707 0.1880
Dy 0.7293 0.7293 0.8120

Record 4
This record from Alexandria via LeMat-Bulk describes a geometry-optimized AcDy2Au structure. The functional is GGA-PBE.

Computed properties:
E: -4.528 eV/atom
V: 120.8 Å³/f.u.

a b c (Å): 3.6917 3.6917 8.8663
angles (deg): 90.00 90.00 90.00
Fractional coordinates of all 4 atoms:
Ac 0.5000 0.5000 0.5000
Au 0.5000 0.5000 0.0000
Dy 0.0000 0.0000 0.8087
Dy 0.0000 0.0000 0.1913

| no. | N(E_F) (states/eV per atom) |
| --- | --- |
| 1 | 1.501 |
| 2 | 0.529 |
| 3 | 1.218 |
| 4 | 1.228 |